VASP calculation (PBE) on Pm6HgPb2 after structural relaxation.

Results
energy relative to the elements	-0.38	eV/atom
final energy	-4.4073	eV/atom

Lattice parameters (Å, degrees): 8.6057 8.6057 4.4729 90.00 90.00 120.00
Space group P-62m (No. 189)
One atom of each set of equivalent atoms:
Pm 0.0000 0.4084 0.0000 [3 per cell]
Pm 0.0000 0.7452 0.5000 [3 per cell]
Hg 0.0000 0.0000 0.0000 [1 per cell]
Pb 0.3333 0.6667 0.5000 [2 per cell]


VASP calculation (PBE) on MnAl2Pt after structural relaxation.

Results
energy relative to the elements	-0.46	eV/atom
final energy	-6.1381	eV/atom

Lattice parameters (Å, degrees): 8.544 2.826 4.911 90.00 101.37 90.00
Space group C2/m (No. 12)
One atom of each set of equivalent atoms:
Mn 0.000 0.000 0.000 [2 per cell]
Al 0.249 0.000 0.754 [4 per cell]
Pt 0.000 0.500 0.500 [2 per cell]


VASP calculation (PBE) on K2PtF4 after structural relaxation.

Results
final energy	-4.1857	eV/atom
distance to the lowest polymorph of the same formula	172	meV per atom
ΔE_f (raw)	-1.940	eV per atom

Lattice parameters (Å, degrees): 4.533 4.533 12.750 90.00 90.00 90.00
Space group I4/mmm (No. 139)
One atom of each set of equivalent atoms:
K 0.000 0.000 0.136 [4 per cell]
Pt 0.000 0.000 0.500 [2 per cell]
F 0.000 0.000 0.338 [4 per cell]
F 0.000 0.500 0.000 [4 per cell]


VASP calculation (PBE) on La2ZnRh after structural relaxation.

Results
energy relative to the elements	-0.27	eV/atom
final energy	-4.8905	eV/atom

Lattice parameters (Å, degrees): 3.621 3.621 7.156 90.00 90.00 90.00
Space group P4mm (No. 99)
One atom of each set of equivalent atoms:
La 0.000 0.000 0.000 [1 per cell]
La 0.500 0.500 0.340 [1 per cell]
Zn 0.500 0.500 0.748 [1 per cell]
Rh 0.000 0.000 0.586 [1 per cell]


VASP calculation (PBE) on Sr4TlHg after structural relaxation.

Results
energy relative to the elements	-0.34	eV/atom
final energy	-1.9096	eV/atom
distance to the lowest polymorph of the same formula	0	meV per atom

Lattice parameters (Å, degrees): 4.091 4.091 14.411 90.00 90.00 90.00
Space group P4/mmm (No. 123)
One atom of each set of equivalent atoms:
Sr 0.000 0.000 0.133 [2 per cell]
Sr 0.500 0.500 0.363 [2 per cell]
Tl 0.000 0.000 0.500 [1 per cell]
Hg 0.500 0.500 0.000 [1 per cell]


VASP calculation (PBE) on ZnHgTe2 after structural relaxation.

Results
final energy	-2.1029	eV/atom
ΔE_f (raw)	-0.138	eV per atom

Lattice parameters (Å, degrees): 8.817 4.297 15.200 90.00 123.47 90.00
Space group P2_1/c (No. 14)
One atom of each set of equivalent atoms:
Zn 0.109 0.249 0.218 [4 per cell]
Hg 0.448 0.750 0.144 [4 per cell]
Te 0.141 0.250 0.051 [4 per cell]
Te 0.250 0.749 0.346 [4 per cell]